NdFeBi2O6: optimized geometry, PBE with a Hubbard U.

Output
Its density of states at the Fermi level is 0.00 states/eV/atom. As for the total DFT energy (no corrections): -196.45 eV for the cell shown.

Lattice parameters (Å, degrees): 5.9260 5.9260 14.9470 90.00 90.00 120.00
Closest atoms and distances in Å follow each position.
Space group R3 (No. 146, hexagonal axes)
Symmetry-distinct sites (fractional):
Nd 0.0000 0.0000 0.0000  6 O 2.29-2.48
Fe 0.0000 0.0000 0.5102  6 O 2.05-2.15
Bi 0.0000 0.0000 0.2198  6 O 2.36-2.45
Bi 0.0000 0.0000 0.7216  6 O 2.30-2.56
O 0.0063 0.4068 0.7826  1 Fe 2.05
O 0.0231 0.7483 0.6088  1 Fe 2.15, 1 Nd 2.29, 1 Bi 2.30